VASP calculation (GGA-PBE) on an optimized crystal structure of Na2TcHgO4.

Output
The density of states at the Fermi level comes out at 10.66 states/eV per cell. The raw formation energy comes out at -1.310 eV/atom.

Cell: 7.2272 7.2272 6.3068 Å, 90.00 90.00 90.00°
Space group I-4 (No. 82)
One atom of each set of equivalent atoms:
1 Na 0.0000 0.0000 0.0000 x2
2 Na 0.0000 0.5000 0.2500 x2
3 Tc 0.0000 0.5000 0.7500 x2
4 Hg 0.0000 0.0000 0.5000 x2
5 O 0.0522 0.3127 0.9265 x8